Record 1
This record from the Alexandria database describes LiSeBr2 at its PBEsol-relaxed geometry. The functional is meta-GGA SCAN.

Cell: 3.3356 3.3356 7.4144 Å, 90.00 90.00 90.00°
Last column: nearest neighbours and their distance in Å.
Space group P4/mmm (No. 123)
Unique sites:
Li  0.0000  0.0000  0.0000 (multiplicity 1)  8 Br 2.82
Se  0.0000  0.0000  0.5000 (multiplicity 1)  8 Br 3.20, 4 Se 3.34
Br  0.5000  0.5000  0.2080 (multiplicity 2)  4 Li 2.82, 1 Br 3.09

Results
Uncorrected formation energy (eV per formula unit): -0.77
ΔE to the lowest computed polymorph (meV per atom): 378

***

Record 2
This record from the Alexandria database describes Li2SeBr at its PBEsol-relaxed geometry. The functional is meta-GGA SCAN.

Cell: 5.8335 3.6624 7.2394 Å, 90.00 107.00 90.00°
Last column: nearest neighbours and their distance in Å.
Space group C2/m (No. 12)
Unique sites:
Li  0.2437  0.0000  0.2344 (multiplicity 4)  3 Br 2.57-2.62, 3 Se 2.71-2.76
Se  0.0000  0.0000  0.5000 (multiplicity 2)  6 Li 2.71-2.76
Br  0.0000  0.5000  0.0000 (multiplicity 2)  6 Li 2.57-2.62

Results
Uncorrected formation energy (eV per formula unit): -4.73
ΔE to the lowest computed polymorph (meV per atom): 0

***

Record 3
This record from the Alexandria database describes Li2SeBr at its PBEsol-relaxed geometry. The functional is meta-GGA SCAN.

Cell: 6.6987 6.6987 6.6987 Å, 90.00 90.00 90.00°
Last column: nearest neighbours and their distance in Å.
Space group Fm-3m (No. 225)
Unique sites:
Li  0.2500  0.2500  0.2500 (multiplicity 8)  4 Se 2.90, 4 Br 2.90
Se  0.0000  0.0000  0.0000 (multiplicity 4)  8 Li 2.90
Br  0.0000  0.0000  0.5000 (multiplicity 4)  8 Li 2.90

Results
Uncorrected formation energy (eV per formula unit): -3.54
ΔE to the lowest computed polymorph (meV per atom): 297

***

Record 4
This record from the Alexandria database describes LiSe2Br at its PBEsol-relaxed geometry. The functional is meta-GGA SCAN.

Cell: 15.8568 3.5748 3.6290 Å, 90.00 100.84 90.00°
Last column: nearest neighbours and their distance in Å.
Space group C2/m (No. 12)
Unique sites:
Li  0.0000  0.0000  0.0000 (multiplicity 2)  4 Br 2.55
Se  0.2264  0.5000  0.2034 (multiplicity 4)  4 Se 2.52-2.79
Br  0.0000  0.5000  0.5000 (multiplicity 2)  4 Li 2.55

Results
Uncorrected formation energy (eV per formula unit): -2.75
ΔE to the lowest computed polymorph (meV per atom): 0

***

Record 5
This record from the Alexandria database describes LiSeBr2 at its PBEsol-relaxed geometry. The functional is meta-GGA SCAN.

Cell: 4.2011 6.9855 6.8954 Å, 90.00 90.00 90.00°
Last column: nearest neighbours and their distance in Å.
Space group Cmmm (No. 65)
Unique sites:
Li  0.0000  0.0000  0.0000 (multiplicity 2)  4 Br 2.70
Se  0.0000  0.0000  0.5000 (multiplicity 2)  4 Br 2.74
Br  0.0000  0.5000  0.2454 (multiplicity 4)  2 Li 2.70, 2 Se 2.74

Results
Uncorrected formation energy (eV per formula unit): -1.36
ΔE to the lowest computed polymorph (meV per atom): 230

***

Record 6
This record from the Alexandria database describes LiSeBr2 at its PBEsol-relaxed geometry. The functional is meta-GGA SCAN.

Cell: 3.7767 3.7767 14.8583 Å, 90.00 90.00 90.00°
Last column: nearest neighbours and their distance in Å.
Space group I-4m2 (No. 119)
Unique sites:
Li  0.0000  0.0000  0.0000 (multiplicity 2)  4 Br 2.67
Se  0.0000  0.5000  0.2500 (multiplicity 2)  4 Br 2.67
Br  0.0000  0.0000  0.5000 (multiplicity 2)  4 Li 2.67
Br  0.0000  0.5000  0.7500 (multiplicity 2)  4 Se 2.67

Results
Uncorrected formation energy (eV per formula unit): -2.28
ΔE to the lowest computed polymorph (meV per atom): 0